Computed, not measured: a geometry-optimized Nd3Y3Co4 structure at the PBE level of DFT.

Calculated values
- Total energy: -125.40 eV/cell
- Density: 6.80 g/cm3
- Energy of formation: -0.058 eV/atom
- D(E_F): 6.8 states/eV/f.u.
- Magnetic moment: 0.0 μB/f.u.
- Volume: 22.850 A^3/atom

a b c (Å): 4.2420 10.3151 10.4443
angles (deg): 90.00 90.00 90.00
Closest atoms and distances in Å follow each position.
Space group Amm2 (No. 38)
Inequivalent atoms, fractional coordinates:
Nd (0.0000, 0.0000, 0.0000) x2  6 Co 3.01-3.25
Nd (0.5000, 0.2490, 0.0851) x4  4 Co 2.91-3.06
Y (0.0000, 0.0000, 0.6594) x2  6 Co 2.97-3.04
Y (0.0000, 0.1697, 0.3348) x4  6 Co 2.94-3.12
Co (0.5000, 0.0000, 0.2358) x2  1 Co 2.24
Co (0.5000, 0.0000, 0.4504) x2  1 Co 2.24
Co (0.5000, 0.1091, 0.8263) x4  1 Co 2.25